Entry 1:
Here is a relaxed structure of LaGa2NiHg from Alexandria via LeMat-Bulk. Energies are from GGA-PBE.

Properties
E above lowest polymorph = 0.0 meV per atom

Structure (POSCAR):
```
LaGa2NiHg
1.0
4.715 0.000 0.000
0.000 4.715 0.000
0.000 0.000 5.185
La Ga Ni Hg
1 2 1 1
Direct
0.000 0.000 0.000 La
0.000 0.500 0.500 Ga
0.500 0.000 0.500 Ga
0.000 0.000 0.500 Ni
0.500 0.500 0.000 Hg
```



Entry 2:
Here is a relaxed structure of PmPuFe from Alexandria via LeMat-Bulk. Energies are from GGA-PBE.

Properties
E_tot = -9.06 eV per atom

Structure (POSCAR):
```
PmPuFe
1.0
3.477 0.000 0.000
0.000 3.477 0.000
0.000 0.000 11.242
Pm Pu Fe
2 2 2
Direct
0.000 0.000 0.000 Pm
0.500 0.500 0.500 Pm
0.000 0.000 0.284 Pu
0.500 0.500 0.784 Pu
0.000 0.000 0.692 Fe
0.500 0.500 0.192 Fe
```



Entry 3:
Here is a relaxed structure of Si2P from Alexandria via LeMat-Bulk. Energies are from GGA-PBE.

Properties
E above lowest polymorph = 461.0 meV per atom
E_form (uncorrected) = 0.46 eV per atom

Structure (POSCAR):
```
Si2P
1.0
3.203 0.000 0.000
0.000 3.203 0.000
0.000 0.000 17.968
Si P
8 4
Direct
0.000 0.250 0.305 Si
0.000 0.250 0.445 Si
0.000 0.750 0.555 Si
0.000 0.750 0.695 Si
0.500 0.250 0.055 Si
0.500 0.250 0.195 Si
0.500 0.750 0.805 Si
0.500 0.750 0.945 Si
0.000 0.250 0.875 P
0.000 0.750 0.125 P
0.500 0.250 0.625 P
0.500 0.750 0.375 P
```



Ordered total magnetic moment results: 0.000; 3.846; 0.000; unit μB per formula unit.